Record 1
DyTa2FeC4: relaxed, PBE.

```
data_DyTa2FeC4
_chemical_formula_sum 'Dy4 Ta8 Fe4 C16'
_cell_length_a 3.2090
_cell_length_b 10.9834
_cell_length_c 10.8377
_cell_angle_alpha 90.00
_cell_angle_beta 90.00
_cell_angle_gamma 90.00
_symmetry_space_group_name_H-M 'C m c m'
_symmetry_Int_Tables_number 63
_symmetry_space_group_name_Hall '-C 2c 2'
loop_
_atom_site_label
_atom_site_type_symbol
_atom_site_fract_x
_atom_site_fract_y
_atom_site_fract_z
Dy1 Dy 0.0000 0.1022 0.2500
Ta1 Ta 0.0000 0.3694 0.0434
Fe1 Fe 0.0000 0.1637 0.7500
C1 C 0.0000 0.0000 0.0000
C2 C 0.0000 0.2656 0.6176
C3 C 0.0000 0.4239 0.2500
```

Properties
Crystal system: orthorhombic
Energy relative to the elements (eV/atom): -0.327

Record 2
KTe2W: relaxed, PBE.

```
data_KTe2W
_chemical_formula_sum 'K1 Te2 W1'
_cell_length_a 3.6428
_cell_length_b 3.6428
_cell_length_c 9.2563
_cell_angle_alpha 90.00
_cell_angle_beta 90.00
_cell_angle_gamma 90.00
_symmetry_space_group_name_H-M 'P 4 m m'
_symmetry_Int_Tables_number 99
loop_
_symmetry_equiv_pos_as_xyz
'x,y,z'
'-y,x,z'
'-x,-y,z'
'y,-x,z'
'-x,y,z'
'y,x,z'
'x,-y,z'
'-y,-x,z'
loop_
_atom_site_label
_atom_site_type_symbol
_atom_site_fract_x
_atom_site_fract_y
_atom_site_fract_z
K1 K 0.0000 0.0000 0.0000
Te1 Te 0.0000 0.0000 0.6353
Te2 Te 0.5000 0.5000 0.2424
W1 W 0.5000 0.5000 0.5198
```

Properties
Crystal system: tetragonal
ΔE_f (raw) (eV per formula unit): 1.2
ΔE to the lowest computed polymorph (eV/atom): 0.344

Record 3
BeFe2Re: relaxed, PBE.

```
data_BeFe2Re
_chemical_formula_sum 'Be3 Fe6 Re3'
_cell_length_a 2.6229
_cell_length_b 2.6229
_cell_length_c 23.9394
_cell_angle_alpha 90.00
_cell_angle_beta 90.00
_cell_angle_gamma 120.00
_symmetry_space_group_name_H-M 'R 3 m'
_symmetry_Int_Tables_number 160
_symmetry_space_group_name_Hall 'R 3 -2"'
loop_
_atom_site_label
_atom_site_type_symbol
_atom_site_fract_x
_atom_site_fract_y
_atom_site_fract_z
Be1 Be 0.0000 0.0000 0.0000
Fe1 Fe 0.0000 0.0000 0.2559
Fe2 Fe 0.0000 0.0000 0.5048
Re1 Re 0.0000 0.0000 0.7523
```

Properties
Crystal system: trigonal
Energy relative to the elements (eV/atom): 0.171

Number 1: total energy -305.1 eV/cell. Number 2: total energy -19.2 eV/cell. Number 3: total energy -97.2 eV/cell.